Computed, not measured: Sn2H2Br5 after structural relaxation at the PBE-GGA level of DFT.

Computed properties:
Its symmetry is P-1, No. 2. For the total energy, the calculation gives -2.957 eV per atom.

a b c (Å): 5.1402 9.0039 10.6436
angles (deg): 42.25 81.79 87.30
Closest atoms and distances in Å follow each position.
Atoms (fractional coordinates):
1 H 0.8639 0.2976 0.9062  1 Br 1.49
2 H 0.1361 0.7024 0.0938  1 Br 1.49
3 Br 0.6186 0.0843 0.6373  1 Sn 2.70
4 Br 0.0000 0.0000 0.0000  2 H 2.17
5 Br 0.7782 0.5142 0.8182  1 H 1.49
6 Br 0.3814 0.9157 0.3627  1 Sn 2.70
7 Br 0.2218 0.4858 0.1818  1 H 1.49
8 Sn 0.9176 0.7380 0.4115  1 Br 2.70
9 Sn 0.0824 0.2620 0.5885  1 Br 2.70